VASP calculation (PBE) on an optimized crystal structure of Pr8AlIn2.

- E: -49.57 eV/cell
- Formation enthalpy at 0 K: -0.192 eV/atom

Structure (POSCAR):
```
Pr8AlIn2
1.0
5.2416 0.0000 -1.5916
-0.9220 6.8269 -3.0363
0.0974 0.1973 9.7476
Pr In Al
8 2 1
Direct
0.1917 0.1918 0.3834 Pr
0.6373 0.4066 0.2747 Pr
0.0000 0.7434 0.0000 Pr
0.3627 0.1318 0.7253 Pr
0.3627 0.5934 0.7253 Pr
0.6373 0.8682 0.2747 Pr
0.8083 0.8082 0.6166 Pr
0.0000 0.2566 0.0000 Pr
0.8129 0.3128 0.6257 In
0.1871 0.6872 0.3743 In
0.5000 0.0000 0.0000 Al
```

***

VASP calculation (PBE) on an optimized crystal structure of FeOs.

- E: -39.08 eV/cell
- Formation enthalpy at 0 K: 0.075 eV/atom

Structure (POSCAR):
```
FeOs
1.0
4.4962 0.0012 -0.0004
-2.3462 4.3807 -0.0021
0.0000 0.8068 2.5312
Fe Os
2 2
Direct
0.0822 0.4963 0.2519 Fe
0.0011 0.0037 0.9981 Fe
0.4932 0.9945 0.5028 Os
0.5902 0.5055 0.7472 Os
```

***

VASP calculation (PBE) on an optimized crystal structure of CsLi3Zr.

- E: -9.04 eV/cell
- Formation enthalpy at 0 K: 1.220 eV/atom

Structure (POSCAR):
```
CsLi3Zr
1.0
5.2652 0.0000 0.0000
0.0000 5.2652 0.0000
0.0000 0.0000 5.2652
Li Zr Cs
3 1 1
Direct
0.5000 0.0000 0.0000 Li
0.0000 0.0000 0.5000 Li
0.0000 0.5000 0.0000 Li
0.5000 0.5000 0.5000 Zr
0.0000 0.0000 0.0000 Cs
```

***

VASP calculation (PBE) on an optimized crystal structure of MgMnBe2.

- E: -16.33 eV/cell
- Formation enthalpy at 0 K: 0.471 eV/atom

Structure (POSCAR):
```
MgMnBe2
1.0
-7.8021 0.2114 3.0840
-8.3197 -0.8090 0.7457
-7.5862 -2.3554 2.7073
Be Mn Mg
2 1 1
Direct
0.2604 0.2604 0.2604 Be
0.9989 0.9989 0.9989 Be
0.7401 0.7401 0.7401 Mn
0.5007 0.5007 0.5007 Mg
```

***

VASP calculation (PBE) on an optimized crystal structure of V4Mo3W4.

- E: -121.78 eV/cell
- Formation enthalpy at 0 K: -0.091 eV/atom

Structure (POSCAR):
```
V4Mo3W4
1.0
-0.2482 0.7516 -3.0117
-0.0793 -3.0234 -0.7414
-16.8555 1.2248 3.2916
V W Mo
4 4 3
Direct
0.9077 0.9079 0.8160 V
0.7266 0.7266 0.4568 V
0.0923 0.0921 0.1840 V
0.2733 0.2734 0.5432 V
0.1820 0.1818 0.3669 W
0.5464 0.5463 0.0940 W
0.8180 0.8182 0.6331 W
0.4536 0.4537 0.9060 W
0.6373 0.6371 0.2736 Mo
0.3627 0.3630 0.7264 Mo
0.0000 0.0000 0.0000 Mo
```

***

VASP calculation (PBE) on an optimized crystal structure of TlInHg2H.

- E: -8.11 eV/cell

Structure (POSCAR):
```
TlInHg2H
1.0
5.3168 0.0000 0.0000
0.0000 5.3168 0.0000
0.0000 0.0000 4.1469
Hg H Tl In
2 1 1 1
Direct
0.5000 0.0000 0.0000 Hg
0.0000 0.5000 0.0000 Hg
0.0000 0.0000 0.0000 H
0.5000 0.5000 0.5000 Tl
0.0000 0.0000 0.5000 In
```